## Rb4ScCl7 (PBE)

Data for a relaxed structure of Rb4ScCl7.

```
data_Rb4ScCl7
_chemical_formula_sum 'Rb8 Sc2 Cl14'
_space_group_name_H-M_alt 'C 1 2 1'
_space_group_IT_number 5
_space_group_name_Hall 'C 2y'
_cell_length_a 16.547
_cell_length_b 5.222
_cell_length_c 11.453
_cell_angle_alpha 90.00
_cell_angle_beta 122.57
_cell_angle_gamma 90.00
loop_
_atom_site_label
_atom_site_type_symbol
_atom_site_fract_x
_atom_site_fract_y
_atom_site_fract_z
Rb1 Rb 0.073 0.000 0.259
Rb2 Rb 0.225 0.001 0.833
Sc1 Sc 0.000 0.499 0.500
Cl1 Cl 0.000 0.999 0.500
Cl2 Cl 0.067 0.500 0.751
Cl3 Cl 0.138 0.001 0.042
Cl4 Cl 0.163 0.498 0.539
```

**Final energy**: -94.30 eV for the cell shown
**Fermi-level density of states**: 0.0 states/eV per cell
**Formation energy without anion corrections**: -24.02 eV/f.u.



## Rb2Sc2Cl (PBE)

Data for a relaxed structure of Rb2Sc2Cl.

```
data_Rb2Sc2Cl
_chemical_formula_sum 'Rb4 Sc4 Cl2'
_space_group_name_H-M_alt 'P 4/m b m'
_space_group_IT_number 127
_space_group_name_Hall '-P 4 2ab'
_cell_length_a 10.742
_cell_length_b 10.742
_cell_length_c 3.931
_cell_angle_alpha 90.00
_cell_angle_beta 90.00
_cell_angle_gamma 90.00
loop_
_atom_site_label
_atom_site_type_symbol
_atom_site_fract_x
_atom_site_fract_y
_atom_site_fract_z
Rb1 Rb 0.204 0.296 0.000
Sc1 Sc 0.087 0.587 0.500
Cl1 Cl 0.000 0.000 0.500
```

**Polymorph energy (0 for the lowest one)**: 0 kJ/mol of formula units
**Final energy**: -28.57 eV for the cell shown
**Fermi-level density of states**: 7.3 states/eV per cell
**Formation energy without anion corrections**: 2.16 eV/f.u.



## RbSc2Cl7 (PBE)

Data for a relaxed structure of RbSc2Cl7.

```
data_RbSc2Cl7
_chemical_formula_sum 'Rb2 Sc4 Cl14'
_space_group_name_H-M_alt 'C m m m'
_space_group_IT_number 65
_space_group_name_Hall '-C 2 2'
_cell_length_a 8.113
_cell_length_b 13.269
_cell_length_c 5.025
_cell_angle_alpha 90.00
_cell_angle_beta 90.00
_cell_angle_gamma 90.00
loop_
_atom_site_label
_atom_site_type_symbol
_atom_site_fract_x
_atom_site_fract_y
_atom_site_fract_z
Rb1 Rb 0.000 0.000 0.000
Sc1 Sc 0.000 0.304 0.500
Cl1 Cl 0.000 0.300 0.000
Cl2 Cl 0.000 0.500 0.500
Cl3 Cl 0.188 0.143 0.500
```

**Final energy**: -93.31 eV for the cell shown
**Fermi-level density of states**: 0.0 states/eV per cell
**Formation energy without anion corrections**: -20.10 eV/f.u.



## Rb2Sc2Cl (PBE)

Data for a relaxed structure of Rb2Sc2Cl.

```
data_Rb2Sc2Cl
_chemical_formula_sum 'Rb4 Sc4 Cl2'
_space_group_name_H-M_alt 'I 4/m m m'
_space_group_IT_number 139
_space_group_name_Hall '-I 4 2'
_cell_length_a 5.062
_cell_length_b 5.062
_cell_length_c 18.602
_cell_angle_alpha 90.00
_cell_angle_beta 90.00
_cell_angle_gamma 90.00
loop_
_atom_site_label
_atom_site_type_symbol
_atom_site_fract_x
_atom_site_fract_y
_atom_site_fract_z
Rb1 Rb 0.000 0.500 0.250
Sc1 Sc 0.000 0.000 0.070
Cl1 Cl 0.000 0.000 0.500
```

**Polymorph energy (0 for the lowest one)**: 123 kJ/mol of formula units
**Final energy**: -26.01 eV for the cell shown
**Fermi-level density of states**: 7.5 states/eV per cell
**Formation energy without anion corrections**: 3.44 eV/f.u.



## RbSc2Cl (PBE)

Data for a relaxed structure of RbSc2Cl.

```
data_RbSc2Cl
_chemical_formula_sum 'Rb3 Sc6 Cl3'
_space_group_name_H-M_alt 'R -3 m'
_space_group_IT_number 166
_space_group_name_Hall '-R 3 2"'
_cell_length_a 3.5612
_cell_length_b 3.5612
_cell_length_c 35.3531
_cell_angle_alpha 90.00
_cell_angle_beta 90.00
_cell_angle_gamma 120.00
loop_
_atom_site_label
_atom_site_type_symbol
_atom_site_fract_x
_atom_site_fract_y
_atom_site_fract_z
Rb1 Rb 0.0000 0.0000 0.0000
Sc1 Sc 0.0000 0.0000 0.4309
Cl1 Cl 0.0000 0.0000 0.5000
```

**Polymorph energy (0 for the lowest one)**: 27 kJ/mol of formula units
**Final energy**: -47.21 eV for the cell shown
**Fermi-level density of states**: 16.2 states/eV per cell
**Formation energy without anion corrections**: -0.26 eV/f.u.



## RbSc2Cl (PBE)

Data for a relaxed structure of RbSc2Cl.

```
data_RbSc2Cl
_chemical_formula_sum 'Rb3 Sc6 Cl3'
_space_group_name_H-M_alt 'R -3 m'
_space_group_IT_number 166
_space_group_name_Hall '-R 3 2"'
_cell_length_a 3.6223
_cell_length_b 3.6223
_cell_length_c 30.0205
_cell_angle_alpha 90.00
_cell_angle_beta 90.00
_cell_angle_gamma 120.00
loop_
_atom_site_label
_atom_site_type_symbol
_atom_site_fract_x
_atom_site_fract_y
_atom_site_fract_z
Rb1 Rb 0.0000 0.0000 0.0000
Sc1 Sc 0.0000 0.0000 0.1172
Cl1 Cl 0.0000 0.0000 0.5000
```

**Polymorph energy (0 for the lowest one)**: 0 kJ/mol of formula units
**Final energy**: -48.06 eV for the cell shown
**Fermi-level density of states**: 10.3 states/eV per cell
**Formation energy without anion corrections**: -0.54 eV/f.u.